VASP calculation (PBE) on crystalline CeDyHo2 at its relaxed geometry.

Cell lengths 3.3947, 3.3947, 36.7583 Å; angles 90.00, 90.00, 120.00 degrees
Space group R-3m (No. 166, hexagonal axes)
Asymmetric unit:
1 Ce 0.0000 0.0000 0.0000 (multiplicity 3)
2 Dy 0.0000 0.0000 0.5000 (multiplicity 3)
3 Ho 0.0000 0.0000 0.0887 (multiplicity 6)

Calculated values
The raw total energy is -56.988 eV for the cell shown. The energy above the most stable polymorph in this dataset is 0.59 eV per formula unit. The calculation puts the formation enthalpy at 0 K at 0.7 eV/f.u.